! NiAsPO2 (PBE+U, relaxed); values from VASP
&SYSTEM
  ibrav = 0, nat = 5, ntyp = 4
/
ATOMIC_SPECIES
As 74.92 As.upf
O 16.00 O.upf
P 30.97 P.upf
Ni 58.69 Ni.upf
ATOMIC_POSITIONS angstrom
As 0.0000 0.0000 0.0000
O -0.3590 1.6990 -0.5326
O -0.9510 -0.6423 -1.4078
P -2.1115 0.0009 1.4259
Ni -3.4215 1.0575 -0.5145
CELL_PARAMETERS angstrom
-0.7180 3.3979 -1.0652
-1.9020 -1.2846 -2.8157
-4.2230 0.0017 2.8519
! Raw total energy, eV/cell: -22.7
! Relative energy among the computed polymorphs, meV/atom: 0.0